Material: La4I3Cl4
Method: DFT, GGA-PBE
State: relaxed

Cell lengths 10.1542, 10.1542, 10.1542 Å; angles 157.34, 125.13, 60.12 degrees
Fractional positions:
La (0.2117, 0.0000, 0.2117)
La (0.2490, 0.2490, 0.0000)
La (0.7510, 0.7510, 0.0000)
La (0.7883, 0.0000, 0.7883)
I (0.1019, 0.6019, 0.5000)
I (0.5000, 0.5000, 0.0000)
I (0.8981, 0.3981, 0.5000)
Cl (0.1393, 0.8291, 0.3102)
Cl (0.4811, 0.1709, 0.3102)
Cl (0.5189, 0.8291, 0.6898)
Cl (0.8607, 0.1709, 0.6898)

## Properties
Fermi-level density of states, states/eV/f.u.: 6.5
ρ, g cm⁻³: 5.5
DFT total energy, eV/atom: -4.513